A plane-wave DFT calculation with PBE-GGA was carried out for a relaxed TmBe3Rh3 crystal.

a b c (Å): 5.972 5.972 5.972
angles (deg): 90.00 90.00 90.00
Element x y z (fractional)
Tm: 0.000 0.000 0.000
Tm: 0.500 0.500 0.500
Be: 0.000 0.250 0.500
Be: 0.000 0.750 0.500
Be: 0.250 0.500 0.000
Be: 0.500 0.000 0.250
Be: 0.500 0.000 0.750
Be: 0.750 0.500 0.000
Rh: 0.000 0.500 0.250
Rh: 0.000 0.500 0.750
Rh: 0.250 0.000 0.500
Rh: 0.500 0.250 0.000
Rh: 0.500 0.750 0.000
Rh: 0.750 0.000 0.500

Values from the calculation:
symmetry = Pm-3n
D(E_F) = 2.5 states/eV/f.u.
total energy = -5.62 eV/atom